# PBE CuSi2H, relaxed
data_CuSi2H
_space_group_name_H-M_alt 'I -4 2 d'
_space_group_IT_number 122
_space_group_name_Hall 'I -4 2bw'
_cell_length_a 4.1338
_cell_length_b 4.1338
_cell_length_c 12.4410
_cell_angle_alpha 90.00
_cell_angle_beta 90.00
_cell_angle_gamma 90.00
loop_
_atom_site_label
_atom_site_fract_x
_atom_site_fract_y
_atom_site_fract_z
Cu1 0.0000 0.0000 0.0000
Si1 0.1585 0.2500 0.6250
H1 0.0000 0.0000 0.5000
# - ΔE to the lowest computed polymorph: 0.12 eV per formula unit
# - Calculated density: 3.77 Mg/m³
# - VASP energy: -16.3 eV per formula unit
# - DOS(E_F): 5.117 states/eV/cell
# - Crystal system: tetragonal

# PBE CuSiH3, relaxed
data_CuSiH3
_space_group_name_H-M_alt 'P m -3 m'
_space_group_IT_number 221
_space_group_name_Hall '-P 4 2 3'
_cell_length_a 3.5058
_cell_length_b 3.5058
_cell_length_c 3.5058
_cell_angle_alpha 90.00
_cell_angle_beta 90.00
_cell_angle_gamma 90.00
loop_
_atom_site_label
_atom_site_fract_x
_atom_site_fract_y
_atom_site_fract_z
Cu1 0.0000 0.0000 0.0000
Si1 0.5000 0.5000 0.5000
H1 0.0000 0.5000 0.5000
# - ΔE to the lowest computed polymorph: 0.08 eV per formula unit
# - Calculated density: 3.65 Mg/m³
# - VASP energy: -16.3 eV per formula unit
# - DOS(E_F): 1.195 states/eV/cell
# - Crystal system: cubic

# PBE Cu2SiTcH, relaxed
data_Cu2SiTcH
_space_group_name_H-M_alt 'P 4/m m m'
_space_group_IT_number 123
_space_group_name_Hall '-P 4 2'
_cell_length_a 3.6740
_cell_length_b 3.6740
_cell_length_c 3.9501
_cell_angle_alpha 90.00
_cell_angle_beta 90.00
_cell_angle_gamma 90.00
loop_
_atom_site_label
_atom_site_fract_x
_atom_site_fract_y
_atom_site_fract_z
Cu1 0.0000 0.5000 0.0000
Si1 0.0000 0.0000 0.5000
Tc1 0.5000 0.5000 0.5000
H1 0.5000 0.5000 0.0000
# - Calculated density: 7.92 Mg/m³
# - VASP energy: -27.2 eV per formula unit
# - DOS(E_F): 2.957 states/eV/cell
# - Crystal system: tetragonal

# PBE TiCu2SiH, relaxed
data_TiCu2SiH
_space_group_name_H-M_alt 'P 4/m m m'
_space_group_IT_number 123
_space_group_name_Hall '-P 4 2'
_cell_length_a 3.7388
_cell_length_b 3.7388
_cell_length_c 3.9643
_cell_angle_alpha 90.00
_cell_angle_beta 90.00
_cell_angle_gamma 90.00
loop_
_atom_site_label
_atom_site_fract_x
_atom_site_fract_y
_atom_site_fract_z
Ti1 0.0000 0.0000 0.0000
Cu1 0.0000 0.5000 0.5000
Si1 0.5000 0.5000 0.0000
H1 0.0000 0.0000 0.5000
# - Calculated density: 6.11 Mg/m³
# - VASP energy: -26.1 eV per formula unit
# - DOS(E_F): 0.845 states/eV/cell
# - Crystal system: tetragonal

# PBE CuSi2HW, relaxed
data_CuSi2HW
_space_group_name_H-M_alt 'P 4/m m m'
_space_group_IT_number 123
_space_group_name_Hall '-P 4 2'
_cell_length_a 4.7575
_cell_length_b 4.7575
_cell_length_c 3.5485
_cell_angle_alpha 90.00
_cell_angle_beta 90.00
_cell_angle_gamma 90.00
loop_
_atom_site_label
_atom_site_fract_x
_atom_site_fract_y
_atom_site_fract_z
Cu1 0.0000 0.0000 0.0000
Si1 0.0000 0.5000 0.5000
H1 0.5000 0.5000 0.0000
W1 0.5000 0.5000 0.5000
# - Calculated density: 6.30 Mg/m³
# - VASP energy: -27.3 eV per formula unit
# - DOS(E_F): 2.345 states/eV/cell
# - Crystal system: tetragonal

# PBE YCuSiH, relaxed
data_YCuSiH
_space_group_name_H-M_alt 'P 4/n m m'
_space_group_IT_number 129
_cell_length_a 3.9625
_cell_length_b 3.9625
_cell_length_c 7.1491
_cell_angle_alpha 90.00
_cell_angle_beta 90.00
_cell_angle_gamma 90.00
loop_
_space_group_symop_operation_xyz
'x,y,z'
'-x,-y,-z'
'-y+1/2,x,z'
'y+1/2,-x,-z'
'-x+1/2,-y+1/2,z'
'x+1/2,y+1/2,-z'
'y,-x+1/2,z'
'-y,x+1/2,-z'
'x+1/2,-y,-z'
'-x+1/2,y,z'
'-y,-x,-z'
'y,x,z'
'-x,y+1/2,-z'
'x,-y+1/2,z'
'y+1/2,x+1/2,-z'
'-y+1/2,-x+1/2,z'
loop_
_atom_site_label
_atom_site_fract_x
_atom_site_fract_y
_atom_site_fract_z
Y1 0.2500 0.2500 0.1575
Cu1 0.2500 0.7500 0.5000
Si1 0.2500 0.2500 0.6885
H1 0.2500 0.7500 0.0000
# - Calculated density: 5.37 Mg/m³
# - VASP energy: -21.8 eV per formula unit
# - DOS(E_F): 2.452 states/eV/cell
# - Crystal system: tetragonal

# PBE ZrCuSiH, relaxed
data_ZrCuSiH
_space_group_name_H-M_alt 'P 4/n m m'
_space_group_IT_number 129
_cell_length_a 3.7768
_cell_length_b 3.7768
_cell_length_c 6.8290
_cell_angle_alpha 90.00
_cell_angle_beta 90.00
_cell_angle_gamma 90.00
loop_
_space_group_symop_operation_xyz
'x,y,z'
'-x,-y,-z'
'-y+1/2,x,z'
'y+1/2,-x,-z'
'-x+1/2,-y+1/2,z'
'x+1/2,y+1/2,-z'
'y,-x+1/2,z'
'-y,x+1/2,-z'
'x+1/2,-y,-z'
'-x+1/2,y,z'
'-y,-x,-z'
'y,x,z'
'-x,y+1/2,-z'
'x,-y+1/2,z'
'y+1/2,x+1/2,-z'
'-y+1/2,-x+1/2,z'
loop_
_atom_site_label
_atom_site_fract_x
_atom_site_fract_y
_atom_site_fract_z
Zr1 0.2500 0.2500 0.1482
Cu1 0.2500 0.7500 0.5000
Si1 0.2500 0.2500 0.7138
H1 0.2500 0.7500 0.0000
# - Calculated density: 6.27 Mg/m³
# - VASP energy: -23.6 eV per formula unit
# - DOS(E_F): 1.295 states/eV/cell
# - Crystal system: tetragonal

# PBE Sm4Cu2H, relaxed
data_Sm4Cu2H
_space_group_name_H-M_alt 'I 4/m m m'
_space_group_IT_number 139
_space_group_name_Hall '-I 4 2'
_cell_length_a 4.7728
_cell_length_b 4.7728
_cell_length_c 14.3220
_cell_angle_alpha 90.00
_cell_angle_beta 90.00
_cell_angle_gamma 90.00
loop_
_atom_site_label
_atom_site_fract_x
_atom_site_fract_y
_atom_site_fract_z
Sm1 0.0000 0.0000 0.1919
Sm2 0.0000 0.5000 0.0000
Cu1 0.0000 0.0000 0.3808
H1 0.0000 0.0000 0.0000
# - Calculated density: 7.43 Mg/m³
# - VASP energy: -31.3 eV per formula unit
# - DOS(E_F): 15.896 states/eV/cell
# - Crystal system: tetragonal

# PBE SmCuH3, relaxed
data_SmCuH3
_space_group_name_H-M_alt 'P m -3 m'
_space_group_IT_number 221
_space_group_name_Hall '-P 4 2 3'
_cell_length_a 3.6486
_cell_length_b 3.6486
_cell_length_c 3.6486
_cell_angle_alpha 90.00
_cell_angle_beta 90.00
_cell_angle_gamma 90.00
loop_
_atom_site_label
_atom_site_fract_x
_atom_site_fract_y
_atom_site_fract_z
Sm1 0.0000 0.0000 0.0000
Cu1 0.5000 0.5000 0.5000
H1 0.0000 0.5000 0.5000
# - Calculated density: 7.42 Mg/m³
# - VASP energy: -20.0 eV per formula unit
# - DOS(E_F): 2.760 states/eV/cell
# - Crystal system: cubic

# PBE CuSn3H, relaxed
data_CuSn3H
_space_group_name_H-M_alt 'P m -3 m'
_space_group_IT_number 221
_space_group_name_Hall '-P 4 2 3'
_cell_length_a 5.0656
_cell_length_b 5.0656
_cell_length_c 5.0656
_cell_angle_alpha 90.00
_cell_angle_beta 90.00
_cell_angle_gamma 90.00
loop_
_atom_site_label
_atom_site_fract_x
_atom_site_fract_y
_atom_site_fract_z
Cu1 0.0000 0.0000 0.0000
Sn1 0.0000 0.0000 0.5000
H1 0.5000 0.5000 0.5000
# - ΔE to the lowest computed polymorph: 1.44 eV per formula unit
# - Calculated density: 5.37 Mg/m³
# - VASP energy: -16.0 eV per formula unit
# - DOS(E_F): 3.098 states/eV/cell
# - Crystal system: cubic

# PBE CuSn3H, relaxed
data_CuSn3H
_space_group_name_H-M_alt 'P m -3 m'
_space_group_IT_number 221
_space_group_name_Hall '-P 4 2 3'
_cell_length_a 4.6488
_cell_length_b 4.6488
_cell_length_c 4.6488
_cell_angle_alpha 90.00
_cell_angle_beta 90.00
_cell_angle_gamma 90.00
loop_
_atom_site_label
_atom_site_fract_x
_atom_site_fract_y
_atom_site_fract_z
Cu1 0.0000 0.0000 0.0000
Sn1 0.0000 0.5000 0.5000
H1 0.5000 0.5000 0.5000
# - ΔE to the lowest computed polymorph: 0.00 eV per formula unit
# - Calculated density: 6.95 Mg/m³
# - VASP energy: -17.4 eV per formula unit
# - DOS(E_F): 1.460 states/eV/cell
# - Crystal system: cubic

# PBE CuSn2H2, relaxed
data_CuSn2H2
_space_group_name_H-M_alt 'I 4/m m m'
_space_group_IT_number 139
_space_group_name_Hall '-I 4 2'
_cell_length_a 3.3349
_cell_length_b 3.3349
_cell_length_c 13.1246
_cell_angle_alpha 90.00
_cell_angle_beta 90.00
_cell_angle_gamma 90.00
loop_
_atom_site_label
_atom_site_fract_x
_atom_site_fract_y
_atom_site_fract_z
Cu1 0.0000 0.0000 0.0000
Sn1 0.0000 0.0000 0.3669
H1 0.0000 0.5000 0.2500
# - Calculated density: 6.89 Mg/m³
# - VASP energy: -16.8 eV per formula unit
# - DOS(E_F): 3.543 states/eV/cell
# - Crystal system: tetragonal

What did the eleventh record say?
# PBE CuSn3H, relaxed
data_CuSn3H
_space_group_name_H-M_alt 'P m -3 m'
_space_group_IT_number 221
_space_group_name_Hall '-P 4 2 3'
_cell_length_a 4.6488
_cell_length_b 4.6488
_cell_length_c 4.6488
_cell_angle_alpha 90.00
_cell_angle_beta 90.00
_cell_angle_gamma 90.00
loop_
_atom_site_label
_atom_site_fract_x
_atom_site_fract_y
_atom_site_fract_z
Cu1 0.0000 0.0000 0.0000
Sn1 0.0000 0.5000 0.5000
H1 0.5000 0.5000 0.5000
# - ΔE to the lowest computed polymorph: 0.00 eV per formula unit
# - Calculated density: 6.95 Mg/m³
# - VASP energy: -17.4 eV per formula unit
# - DOS(E_F): 1.460 states/eV/cell
# - Crystal system: cubic